No. 1
The following is a PBE-GGA calculation of crystalline BaLaPa at its relaxed geometry, from OQMD.

Values from the calculation:
Energy above the lowest structure with this stoichiometry = 0.0000 eV/atom
M_tot = 1.132 μB/atom

a b c (Å): 8.0604 8.0604 8.0604
angles (deg): 90.00 90.00 90.00
Last column: nearest neighbours and their distance in Å.
Space group F-43m (No. 216)
Unique sites:
Ba 0.0000 0.0000 0.0000 [4 per cell]  4 Pa 3.49
La 0.0000 0.0000 0.5000 [4 per cell]  4 Pa 3.49
Pa 0.2500 0.2500 0.2500 [4 per cell]  4 La 3.49, 4 Ba 3.49



No. 2
The following is a PBE-GGA calculation of crystalline PmCoAs at its relaxed geometry, from OQMD.

Values from the calculation:
Energy above the lowest structure with this stoichiometry = 0.7253 eV/atom
M_tot = 0.607 μB/atom

a b c (Å): 6.6679 6.6679 6.6679
angles (deg): 90.00 90.00 90.00
Last column: nearest neighbours and their distance in Å.
Space group F-43m (No. 216)
Unique sites:
Pm 0.0000 0.0000 0.0000 [4 per cell]  4 Co 2.89, 4 As 2.89
Co 0.2500 0.2500 0.2500 [4 per cell]  4 Pm 2.89
As 0.2500 0.2500 0.7500 [4 per cell]  4 Pm 2.89



No. 3
The following is a PBE-GGA calculation of crystalline MgHAu2F11 at its relaxed geometry, from OQMD.

Values from the calculation:
VASP energy = -216.59 eV per cell

a b c (Å): 5.0711 14.7207 9.6866
angles (deg): 90.00 90.52 90.00
Last column: nearest neighbours and their distance in Å.
Space group P2_1/c (No. 14)
Unique sites:
Mg 0.0325 0.2314 0.0969 [4 per cell]  6 F 1.90-1.96
H 0.0125 0.5882 0.9389 [4 per cell]  1 F 1.01
Au 0.2958 0.0196 0.2537 [4 per cell]  6 F 1.91-1.98
Au 0.4682 0.7140 0.6466 [4 per cell]  4 F 1.93-1.95
F 0.0064 0.0073 0.6256 [4 per cell]  1 H 1.35
F 0.0288 0.6500 0.9837 [4 per cell]  1 H 1.01
F 0.0587 0.1076 0.1694 [4 per cell]  1 Au 1.94, 1 Mg 1.96
F 0.1299 0.7477 0.7251 [4 per cell]  1 Mg 1.94, 1 Au 1.95
F 0.1418 0.5665 0.6269 [4 per cell]  1 Au 1.93
F 0.2057 0.1763 0.9386 [4 per cell]  1 Au 1.94, 1 Mg 1.95
F 0.3046 0.6938 0.4683 [4 per cell]  1 Mg 1.90, 1 Au 1.93
F 0.3598 0.2320 0.6746 [4 per cell]  1 Mg 1.90, 1 Au 1.95
F 0.4214 0.5400 0.3718 [4 per cell]  1 Au 1.91
F 0.4467 0.1094 0.3798 [4 per cell]  1 Au 1.95
F 0.4960 0.0721 0.6566 [4 per cell]  1 Au 1.92



No. 4
The following is a PBE-GGA calculation of crystalline Dy2HoSi4Au4 at its relaxed geometry, from OQMD.

Values from the calculation:
VASP energy = -112.68 eV per cell
M_tot = 0.000 μB/atom

a b c (Å): 4.1193 4.2343 25.0463
angles (deg): 90.00 90.00 90.00
Last column: nearest neighbours and their distance in Å.
Space group Immm (No. 71)
Unique sites:
Dy 0.0000 0.0000 0.1476 [4 per cell]  6 Si 3.13-3.26, 8 Au 3.25-3.37
Ho 0.0000 0.5000 0.0000 [2 per cell]  4 Au 3.12, 8 Si 3.18
Si 0.0000 0.0000 0.3105 [4 per cell]  5 Au 2.41-2.59
Si 0.0000 0.5000 0.4533 [4 per cell]  1 Si 2.34, 2 Au 2.42
Au 0.0000 0.0000 0.4066 [4 per cell]  3 Si 2.41-2.42
Au 0.0000 0.5000 0.2522 [4 per cell]  4 Si 2.57-2.59



No. 5
The following is a PBE-GGA calculation of crystalline RbZrNO at its relaxed geometry, from OQMD.

Values from the calculation:
Energy above the lowest structure with this stoichiometry = 0.0000 eV/atom
M_tot = 0.000 μB/atom

a b c (Å): 3.5022 7.5734 6.2577
angles (deg): 90.00 90.00 90.00
Last column: nearest neighbours and their distance in Å.
Space group Pmc2_1 (No. 26)
Unique sites:
Rb 0.0000 0.1510 0.0000 [2 per cell]  2 O 2.84, 2 N 2.87-2.93
Zr 0.5000 0.3603 0.5184 [2 per cell]  2 O 2.04, 2 N 2.06
N 0.0000 0.2267 0.4594 [2 per cell]  2 Zr 2.06
O 0.5000 0.4146 0.8379 [2 per cell]  2 Zr 2.04



No. 6
The following is a PBE-GGA calculation of crystalline KYCuS3 at its relaxed geometry, from OQMD.

Values from the calculation:
VASP energy = -62.56 eV per cell
M_tot = 0.000 μB/atom

a b c (Å): 8.6641 3.9508 9.3261
angles (deg): 90.00 106.94 90.00
Last column: nearest neighbours and their distance in Å.
Space group P2_1/m (No. 11)
Unique sites:
K 0.2013 0.2500 0.2333 [2 per cell]  7 S 3.20-3.52
Y 0.3283 0.7500 0.8569 [2 per cell]  6 S 2.72-2.85
Cu 0.0827 0.2500 0.6055 [2 per cell]  4 S 2.29-2.32
S 0.1106 0.2500 0.8578 [2 per cell]  1 Cu 2.29
S 0.1846 0.7500 0.5403 [2 per cell]  3 Cu 2.32
S 0.4584 0.7500 0.1594 [2 per cell]  3 Y 2.72-2.74



No. 7
The following is a PBE-GGA calculation of crystalline WCl2 at its relaxed geometry, from OQMD.

Values from the calculation:
Energy above the lowest structure with this stoichiometry = 0.0000 eV/atom
M_tot = 0.075 μB/atom

a b c (Å): 6.0796 6.0796 3.1297
angles (deg): 90.00 90.00 90.00
Last column: nearest neighbours and their distance in Å.
Space group P4_2/mnm (No. 136)
Unique sites:
W 0.0000 0.0000 0.0000 [2 per cell]  6 Cl 2.41-2.45
Cl 0.2198 0.2198 0.5000 [4 per cell]  3 W 2.41-2.45



No. 8
The following is a PBE-GGA calculation of crystalline Zr2Sn2Ir at its relaxed geometry, from OQMD.

Values from the calculation:
Energy above the lowest structure with this stoichiometry = 0.3872 eV/atom
M_tot = 0.001 μB/atom

a b c (Å): 3.9344 3.9344 14.3672
angles (deg): 90.00 90.00 90.00
Last column: nearest neighbours and their distance in Å.
Space group I4/mmm (No. 139)
Unique sites:
Zr 0.0000 0.5000 0.2500 [4 per cell]  4 Zr 2.78, 4 Sn 3.01
Sn 0.0000 0.0000 0.0914 [4 per cell]  1 Sn 2.63
Ir 0.0000 0.0000 0.5000 [2 per cell]  8 Sn 3.08



No. 9
The following is a PBE-GGA calculation of crystalline TmGeTe at its relaxed geometry, from OQMD.

Values from the calculation:
VASP energy = -51.00 eV per cell
M_tot = 0.003 μB/atom

a b c (Å): 7.0160 7.0160 7.0160
angles (deg): 90.00 90.00 90.00
Last column: nearest neighbours and their distance in Å.
Space group F-43m (No. 216)
Unique sites:
Tm 0.0000 0.0000 0.0000 [4 per cell]  4 Te 3.04
Ge 0.0000 0.0000 0.5000 [4 per cell]  4 Te 3.04
Te 0.2500 0.2500 0.7500 [4 per cell]  4 Ge 3.04, 4 Tm 3.04



No. 10
The following is a PBE-GGA calculation of crystalline TbYFe at its relaxed geometry, from OQMD.

Values from the calculation:
ΔE_f = 0.2268 eV per atom
M_tot = 0.069 μB/atom

a b c (Å): 6.6350 6.6350 6.6350
angles (deg): 90.00 90.00 90.00
Last column: nearest neighbours and their distance in Å.
Space group F-43m (No. 216)
Unique sites:
Tb 0.0000 0.0000 0.0000 [4 per cell]  4 Fe 2.87
Y 0.0000 0.0000 0.5000 [4 per cell]  4 Fe 2.87
Fe 0.2500 0.2500 0.2500 [4 per cell]  4 Tb 2.87, 4 Y 2.87



No. 11
The following is a PBE-GGA calculation of crystalline GdBTe at its relaxed geometry, from OQMD.

Values from the calculation:
Energy above the lowest structure with this stoichiometry = 0.4136 eV/atom
M_tot = 0.000 μB/atom

a b c (Å): 6.8608 6.8608 6.8608
angles (deg): 90.00 90.00 90.00
Last column: nearest neighbours and their distance in Å.
Space group F-43m (No. 216)
Unique sites:
Gd 0.0000 0.0000 0.0000 [4 per cell]  4 Te 2.97
B 0.0000 0.0000 0.5000 [4 per cell]  4 Te 2.97
Te 0.2500 0.2500 0.7500 [4 per cell]  4 Gd 2.97, 4 B 2.97



No. 12
The following is a PBE-GGA calculation of crystalline AlTcTe2 at its relaxed geometry, from OQMD.

Values from the calculation:
VASP energy = -70.59 eV per cell
M_tot = 0.005 μB/atom

a b c (Å): 6.9110 6.9110 6.9110
angles (deg): 90.00 90.00 90.00
Last column: nearest neighbours and their distance in Å.
Space group F-43m (No. 216)
Unique sites:
Al 0.0000 0.0000 0.0000 [4 per cell]  4 Tc 2.99, 4 Te 2.99
Tc 0.2500 0.2500 0.7500 [4 per cell]  4 Te 2.99, 4 Al 2.99
Te 0.0000 0.0000 0.5000 [4 per cell]  4 Te 2.99, 4 Tc 2.99
Te 0.2500 0.2500 0.2500 [4 per cell]  4 Al 2.99, 4 Te 2.99



No. 13
The following is a PBE-GGA calculation of crystalline Zr5GePb3 at its relaxed geometry, from OQMD.

Values from the calculation:
VASP energy = -125.20 eV per cell
M_tot = 0.000 μB/atom

a b c (Å): 8.8416 8.8416 5.9790
angles (deg): 90.00 90.00 120.00
Last column: nearest neighbours and their distance in Å.
Space group P6_3/mcm (No. 193)
Unique sites:
Zr 0.0000 0.2604 0.2500 [6 per cell]  2 Ge 2.75, 3 Pb 3.06-3.07
Zr 0.3333 0.6667 0.0000 [4 per cell]  2 Zr 2.99, 6 Pb 3.11
Ge 0.0000 0.0000 0.0000 [2 per cell]  6 Zr 2.75, 2 Ge 2.99
Pb 0.0000 0.3927 0.7500 [6 per cell]  9 Zr 3.06-3.21



No. 14
The following is a PBE-GGA calculation of crystalline HoMgTeAuS2 at its relaxed geometry, from OQMD.

Values from the calculation:
VASP energy = -107.41 eV per cell
M_tot = 0.000 μB/atom

a b c (Å): 3.9344 13.0111 11.3731
angles (deg): 90.00 90.00 90.00
Last column: nearest neighbours and their distance in Å.
Space group Cmcm (No. 63)
Unique sites:
Ho 0.0000 0.0000 0.0000 [4 per cell]  4 S 2.72
Mg 0.0000 0.2294 0.2500 [4 per cell]  2 Au 2.82, 2 Te 2.87
Te 0.0000 0.1103 0.7500 [4 per cell]  2 Mg 2.87, 2 Au 3.10, 2 Ho 3.19
Au 0.0000 0.4260 0.7500 [4 per cell]  2 S 2.38
S 0.0000 0.3631 0.5533 [8 per cell]  1 Au 2.38



No. 15
The following is a PBE-GGA calculation of crystalline LiTe2IrAuS at its relaxed geometry, from OQMD.

Values from the calculation:
VASP energy = -101.98 eV per cell
M_tot = 0.002 μB/atom

a b c (Å): 3.9332 14.7056 9.6696
angles (deg): 90.00 90.00 90.00
Last column: nearest neighbours and their distance in Å.
Space group Cmcm (No. 63)
Unique sites:
Li 0.0000 0.2213 0.2500 [4 per cell]  2 Au 2.67, 2 Te 2.72
Te 0.0000 0.1238 0.0112 [8 per cell]  1 Au 2.57, 2 Ir 2.68, 1 Li 2.72
Ir 0.0000 0.5000 0.0000 [4 per cell]  2 S 2.49, 4 Te 2.68
Au 0.0000 0.1563 0.7500 [4 per cell]  2 Te 2.57, 2 Li 2.67
S 0.0000 0.4599 0.7500 [4 per cell]  2 Ir 2.49



No. 16
The following is a PBE-GGA calculation of crystalline TbYSi2W2C at its relaxed geometry, from OQMD.

Values from the calculation:
VASP energy = -121.83 eV per cell
M_tot = 0.001 μB/atom

a b c (Å): 11.0971 3.8484 7.1404
angles (deg): 90.00 125.32 90.00
Last column: nearest neighbours and their distance in Å.
Space group Cm (No. 8)
Unique sites:
Tb 0.0000 0.0000 0.0000 [2 per cell]  2 C 2.62
Y 0.1494 0.0000 0.5932 [2 per cell]  2 C 2.62
Si 0.2066 0.5000 0.9586 [2 per cell]  1 Si 2.47, 3 W 2.54-2.62
Si 0.4426 0.0000 0.6342 [2 per cell]  1 Si 2.47, 3 W 2.54-2.61
W 0.2821 0.5000 0.3800 [2 per cell]  1 C 2.02
W 0.3673 0.0000 0.2131 [2 per cell]  1 C 2.02
C 0.0747 0.5000 0.2967 [2 per cell]  2 W 2.02



No. 17
The following is a PBE-GGA calculation of crystalline Li2Tl2ZnCdPd2 at its relaxed geometry, from OQMD.

Values from the calculation:
VASP energy = -23.56 eV per cell

a b c (Å): 4.6275 4.6275 6.5488
angles (deg): 90.00 90.00 90.00
Last column: nearest neighbours and their distance in Å.
Space group P-4m2 (No. 115)
Unique sites:
Li 0.0000 0.5000 0.2419 [2 per cell]  4 Tl 2.80-2.87, 2 Zn 2.80, 2 Cd 2.87, 1 Pd 3.13
Tl 0.0000 0.0000 0.0000 [1 per cell]  4 Pd 2.78, 4 Li 2.80
Tl 0.5000 0.5000 0.5000 [1 per cell]  4 Li 2.87, 4 Pd 2.89
Zn 0.5000 0.5000 0.0000 [1 per cell]  4 Pd 2.78, 4 Li 2.80
Cd 0.0000 0.0000 0.5000 [1 per cell]  4 Li 2.87, 4 Pd 2.89
Pd 0.0000 0.5000 0.7645 [2 per cell]  4 Tl 2.78-2.89, 2 Zn 2.78, 2 Cd 2.89



No. 18
The following is a PBE-GGA calculation of crystalline HoTm2Ge3PdPt2 at its relaxed geometry, from OQMD.

Values from the calculation:
VASP energy = -107.88 eV per cell
M_tot = 0.000 μB/atom

a b c (Å): 3.8788 12.4845 7.1821
angles (deg): 90.00 90.00 90.00
Last column: nearest neighbours and their distance in Å.
Space group Amm2 (No. 38)
Unique sites:
Ho 0.0000 0.0000 0.0000 [2 per cell]  1 Pd 2.93, 4 Pt 2.93, 6 Ge 3.11-3.21
Tm 0.0000 0.2028 0.6086 [4 per cell]  4 Pt 2.91-2.92, 1 Pd 2.92, 6 Ge 3.11-3.21
Ge 0.5000 0.0000 0.6621 [2 per cell]  2 Pd 2.67, 2 Pt 2.73
Ge 0.5000 0.1285 0.2781 [4 per cell]  2 Pd 2.68, 2 Pt 2.70-2.72
Pd 0.0000 0.0000 0.4074 [2 per cell]  6 Ge 2.67-2.68, 2 Tm 2.92, 1 Ho 2.93
Pt 0.5000 0.1678 0.9054 [4 per cell]  3 Ge 2.70-2.73, 4 Tm 2.91-2.92, 2 Ho 2.93



No. 19
The following is a PBE-GGA calculation of crystalline SmScIn4 at its relaxed geometry, from OQMD.

Values from the calculation:
VASP energy = -48.96 eV per cell
M_tot = 0.000 μB/atom

a b c (Å): 4.6060 4.5705 14.0551
angles (deg): 90.00 90.00 90.00
Last column: nearest neighbours and their distance in Å.
Space group Amm2 (No. 38)
Unique sites:
Sm 0.0000 0.0000 0.0000 [2 per cell]  10 In 3.23-3.36, 2 Sc 3.52
Sc 0.0000 0.0000 0.3095 [2 per cell]  10 In 3.08-3.27
In 0.0000 0.0000 0.6620 [2 per cell]  2 Sc 3.08, 2 Sm 3.23, 6 In 3.24-3.26
In 0.5000 0.0000 0.1610 [2 per cell]  2 Sc 3.11, 2 Sm 3.23, 8 In 3.24-3.48
In 0.5000 0.0000 0.4743 [2 per cell]  2 In 3.09, 4 Sm 3.26, 2 Sc 3.27
In 0.5000 0.0000 0.8260 [2 per cell]  6 In 3.09-3.26, 4 Sc 3.25, 2 Sm 3.36



No. 20
The following is a PBE-GGA calculation of crystalline Zr2Zn3W4C3 at its relaxed geometry, from OQMD.

Values from the calculation:
VASP energy = -413.75 eV per cell
M_tot = 0.000 μB/atom

a b c (Å): 9.3148 5.3856 13.9470
angles (deg): 90.00 103.32 90.00
Last column: nearest neighbours and their distance in Å.
Space group C2/c (No. 15)
Unique sites:
Zr 0.0428 0.0819 0.3879 [8 per cell]  3 C 2.34-2.37
Zn 0.0000 0.4297 0.7500 [4 per cell]  4 Zn 2.69-2.70, 4 W 2.79-2.80
Zn 0.2427 0.1556 0.7514 [8 per cell]  4 Zn 2.69-2.70, 4 W 2.77-2.78
W 0.1105 0.4083 0.5799 [8 per cell]  3 C 2.08-2.14
W 0.2268 0.4204 0.9200 [8 per cell]  3 C 2.07-2.14
C 0.0828 0.2480 0.0000 [8 per cell]  4 W 2.07-2.14
C 0.2500 0.2500 0.5000 [4 per cell]  4 W 2.08



No. 21
The following is a PBE-GGA calculation of crystalline Li2P2Pt3 at its relaxed geometry, from OQMD.

Values from the calculation:
VASP energy = -108.59 eV per cell
M_tot = 0.001 μB/atom

a b c (Å): 4.1848 4.1848 19.8632
angles (deg): 90.00 90.00 120.00
Last column: nearest neighbours and their distance in Å.
Space group R3m (No. 160, hexagonal axes)
Unique sites:
Li 0.0000 0.0000 0.0000 [3 per cell]  5 Pt 2.44-2.63
Li 0.0000 0.0000 0.4682 [3 per cell]  3 Pt 2.43, 3 P 2.72
P 0.0000 0.0000 0.2480 [3 per cell]  7 Pt 2.49-2.59
P 0.0000 0.0000 0.7387 [3 per cell]  5 Pt 2.46-2.62, 3 Li 2.72
Pt 0.0000 0.0000 0.1229 [3 per cell]  4 Li 2.43-2.44, 4 P 2.49-2.62
Pt 0.0000 0.0000 0.6148 [3 per cell]  4 P 2.46-2.51, 3 Li 2.63
Pt 0.0000 0.0000 0.8681 [3 per cell]  4 P 2.57-2.59, 4 Li 2.62-2.75, 3 Pt 2.88



No. 22
The following is a PBE-GGA calculation of crystalline ZnAgPS4 at its relaxed geometry, from OQMD.

Values from the calculation:
VASP energy = -57.15 eV per cell

a b c (Å): 5.8501 5.8501 9.2475
angles (deg): 90.00 90.00 90.00
Last column: nearest neighbours and their distance in Å.
Space group I-4 (No. 82)
Unique sites:
Zn 0.0000 0.0000 0.0000 [2 per cell]  4 S 2.36
Ag 0.0000 0.0000 0.5000 [2 per cell]  4 S 2.54
P 0.0000 0.5000 0.7500 [2 per cell]  4 S 2.07
S 0.2034 0.7299 0.8609 [8 per cell]  1 P 2.07